# 1
8
Lattice="3.913 0.000 0.000 -1.956 5.614 0.000 0.000 0.000 8.556" Properties=species:S:1:pos:R:3 comment="YSc2As GGA-PBE relaxed" total_magnetization_mub_per_fu=0.00 delta_e_f_ev_per_atom=-0.751 pbc="T T T"
Y 1.956 4.945 2.139
Y 0.000 0.669 6.417
As 1.956 2.940 6.417
As 0.000 2.675 2.139
Sc 1.956 1.616 0.455
Sc 1.956 1.616 3.823
Sc 0.000 3.998 4.733
Sc 0.000 3.998 8.100


# 2
4
Lattice="5.006 0.000 0.000 2.503 4.335 0.000 2.503 1.445 4.087" Properties=species:S:1:pos:R:3 comment="YSc2As GGA-PBE relaxed" total_magnetization_mub_per_fu=0.00 delta_e_f_ev_per_atom=-0.205 pbc="T T T"
Y 7.509 4.335 3.066
As 5.006 2.890 2.044
Sc 2.503 1.445 1.022
Sc 0.000 0.000 0.000


# 3
4
Lattice="-2.796 -0.798 -2.592 2.477 -2.249 -1.980 0.643 -7.406 1.586" Properties=species:S:1:pos:R:3 comment="Y2ScAs GGA-PBE relaxed" total_magnetization_mub_per_fu=0.00 delta_e_f_ev_per_atom=-0.554 pbc="T T T"
As -0.618 -2.813 -1.394
Y 2.444 -2.343 -1.915
Y 1.593 -4.734 -0.262
Sc 0.942 -7.640 -1.592


# 4
3
Lattice="-1.314 -2.137 2.960 3.732 -0.212 -1.040 1.343 4.560 3.889" Properties=species:S:1:pos:R:3 comment="YScAs GGA-PBE relaxed" total_magnetization_mub_per_fu=0.00 delta_e_f_ev_per_atom=-0.817 pbc="T T T"
Y 3.032 2.480 3.136
As 0.022 0.074 0.063
Sc 0.708 -0.343 2.610


# 5
4
Lattice="-3.019 -5.082 2.253 3.190 -4.786 2.633 -1.235 6.202 0.158" Properties=species:S:1:pos:R:3 comment="Y2ScAs GGA-PBE relaxed" total_magnetization_mub_per_fu=0.00 delta_e_f_ev_per_atom=-0.585 pbc="T T T"
Y 0.001 -0.034 0.017
Y -2.092 -1.488 2.220
As 0.084 -4.830 2.392
Sc 1.029 -2.247 2.859


# 6
10
Lattice="-4.160 -4.128 -4.289 0.423 -5.425 4.811 -4.059 1.713 2.288" Properties=species:S:1:pos:R:3 comment="Y2Sc2As GGA-PBE relaxed" total_magnetization_mub_per_fu=0.00 delta_e_f_ev_per_atom=-0.323 pbc="T T T"
Y -3.404 -1.408 0.401
Y -2.394 -3.328 3.630
Y -5.402 -4.513 -0.820
Y -4.392 -6.433 2.408
As 0.000 0.000 0.000
As -1.869 -4.777 0.261
Sc -0.472 -2.519 1.049
Sc -2.637 -3.488 -2.067
Sc -1.100 -6.065 2.588
Sc -3.265 -7.034 -0.527


# 7
4
Lattice="-0.498 0.494 3.563 -3.543 -0.685 -0.400 1.206 -6.893 1.124" Properties=species:S:1:pos:R:3 comment="YSc2As GGA-PBE relaxed" total_magnetization_mub_per_fu=0.03 delta_e_f_ev_per_atom=-0.566 pbc="T T T"
Y 0.636 -3.636 0.593
Sc 1.159 -6.623 1.080
Sc -1.754 -1.618 1.829
As -1.067 -5.545 2.470


# 8
3
Lattice="6.504 -0.002 0.002 5.324 3.351 -0.008 1.179 -0.386 3.331" Properties=species:S:1:pos:R:3 comment="YScAs GGA-PBE relaxed" total_magnetization_mub_per_fu=0.00 delta_e_f_ev_per_atom=-0.727 pbc="T T T"
Y 8.085 2.036 1.167
As 11.720 3.311 0.028
Sc 5.030 0.964 2.125


# 9
20
Lattice="-5.649 2.925 -0.637 -3.811 -6.500 3.944 1.269 4.239 8.211" Properties=species:S:1:pos:R:3 comment="YSc5As4 GGA-PBE relaxed" total_magnetization_mub_per_fu=0.00 delta_e_f_ev_per_atom=-0.887 pbc="T T T"
Y -2.274 -0.611 5.964
Y -4.647 2.406 -0.524
As -5.298 4.053 1.561
As -0.943 0.009 8.273
As -5.894 -3.320 2.625
As -3.973 -0.044 0.636
As -4.838 -1.385 6.760
As -4.708 6.024 5.378
As -2.948 1.839 4.804
As -1.622 -2.259 3.879
Sc -2.108 0.043 2.531
Sc -6.302 -0.973 1.476
Sc -1.372 2.499 7.289
Sc -4.049 -3.269 4.541
Sc -6.682 -1.436 4.844
Sc -3.314 -0.813 9.299
Sc -0.618 2.768 3.964
Sc -6.148 0.346 8.296
Sc -4.813 1.752 2.909
Sc -4.279 3.535 6.362


# 10
16
Lattice="7.006 0.000 4.013 2.354 6.599 4.013 0.030 0.021 8.070" Properties=species:S:1:pos:R:3 comment="Y5Sc3As8 GGA-PBE relaxed" total_magnetization_mub_per_fu=0.00 delta_e_f_ev_per_atom=-1.471 pbc="T T T"
As 5.937 1.666 10.024
As 3.563 5.033 10.024
As 7.089 4.998 11.990
As 2.362 1.666 7.976
As 7.028 4.955 8.120
As 3.453 4.955 6.072
As 5.827 1.587 6.072
As 2.301 1.622 4.106
Y 4.680 3.299 4.013
Y 3.503 0.000 2.007
Y 4.695 3.310 8.048
Y 1.177 3.299 2.007
Y 0.000 0.000 0.000
Sc 3.518 0.011 6.041
Sc 1.192 3.310 6.041
Sc 0.015 0.011 4.035


# 11
4
Lattice="-4.167 -2.580 -3.695 1.755 -3.142 -4.972 0.414 0.516 6.102" Properties=species:S:1:pos:R:3 comment="YSc2As GGA-PBE relaxed" total_magnetization_mub_per_fu=0.00 delta_e_f_ev_per_atom=-0.593 pbc="T T T"
Sc -2.305 -5.468 -8.281
Sc -1.313 -3.115 -4.719
Y 0.482 -2.743 -1.602
As -2.480 -2.463 -0.963


# 12
4
Lattice="4.600 0.695 0.000 -0.699 4.600 0.000 0.000 0.000 4.374" Properties=species:S:1:pos:R:3 comment="Y2ScAs GGA-PBE relaxed" total_magnetization_mub_per_fu=0.00 delta_e_f_ev_per_atom=-0.412 pbc="T T T"
As 2.300 0.347 2.187
Y 1.951 2.647 0.000
Y 0.000 0.000 0.000
Sc -0.349 2.300 2.187